Density functional theory data (GGA-PBE) for an optimized crystal structure of CrIn2Si.

Summary:
total magnetization	3.792	μB/f.u.
ΔE_f (raw)	0.482	eV/atom

a b c (Å): 3.1233 3.1233 8.2066
angles (deg): 90.00 90.00 90.00
With the nearest neighbours (Å) after each atom.
Space group P4/mmm (No. 123)
Symmetry-distinct sites (fractional):
Cr  0.0000  0.0000  0.0000  8 In 2.96, 4 Cr 3.12
In  0.5000  0.5000  0.2410  4 Cr 2.96, 4 Si 3.07, 4 In 3.12
Si  0.0000  0.0000  0.5000  8 In 3.07, 4 Si 3.12

Density functional theory data (GGA-PBE) for an optimized crystal structure of KFeOs3.

Summary:
total magnetization	0.000	μB/f.u.
calculated formation energy	4181	meV per atom

a b c (Å): 4.4664 4.4664 4.4664
angles (deg): 90.00 90.00 90.00
With the nearest neighbours (Å) after each atom.
Space group Pm-3m (No. 221)
Symmetry-distinct sites (fractional):
K  0.0000  0.0000  0.0000  6 Os 2.23
Fe  0.5000  0.5000  0.5000  12 Os 3.16
Os  0.0000  0.0000  0.5000  2 K 2.23

Density functional theory data (GGA-PBE) for an optimized crystal structure of Tl2BrO2.

Summary:
total magnetization	0.000	μB/f.u.
ΔE_f (raw)	-0.555	eV/atom

a b c (Å): 5.9894 6.0326 7.4147
angles (deg): 90.00 101.31 90.00
With the nearest neighbours (Å) after each atom.
Space group C2/m (No. 12)
Symmetry-distinct sites (fractional):
Tl  0.2178  0.0000  0.3669  4 O 2.32-2.35
Br  0.0000  0.0000  0.0000  2 Tl 2.78
O  0.0000  0.2530  0.5000  4 Tl 2.32-2.35

Density functional theory data (GGA-PBE) for an optimized crystal structure of ZrTiBi2.

Summary:
total magnetization	0.003	μB/f.u.
calculated formation energy	-66	meV per atom

a b c (Å): 7.2022 7.2022 7.2022
angles (deg): 90.00 90.00 90.00
With the nearest neighbours (Å) after each atom.
Space group Fm-3m (No. 225)
Symmetry-distinct sites (fractional):
Zr  0.0000  0.0000  0.0000  8 Bi 3.12
Ti  0.0000  0.0000  0.5000  8 Bi 3.12
Bi  0.2500  0.2500  0.2500  4 Zr 3.12, 4 Ti 3.12

Density functional theory data (GGA-PBE) for an optimized crystal structure of LiAcGaGe2.

Summary:
total magnetization	0.000	μB/f.u.
calculated formation energy	-535	meV per atom

a b c (Å): 4.3546 4.3546 11.5190
angles (deg): 90.00 90.00 90.00
With the nearest neighbours (Å) after each atom.
Space group I-4m2 (No. 119)
Symmetry-distinct sites (fractional):
Li  0.0000  0.0000  0.0000  4 Ge 2.67
Ac  0.0000  0.5000  0.7500  8 Ge 3.36, 4 Li 3.61, 4 Ga 3.61
Ga  0.0000  0.0000  0.5000  4 Ge 2.67
Ge  0.0000  0.5000  0.1337  2 Li 2.67, 2 Ga 2.67, 1 Ge 2.68

Density functional theory data (GGA-PBE) for an optimized crystal structure of Tb5PmPb5.

Summary:
total magnetization	0.698	μB/f.u.
calculated formation energy	-291	meV per atom

a b c (Å): 15.7781 6.3114 7.4775
angles (deg): 90.00 103.05 90.00
With the nearest neighbours (Å) after each atom.
Space group C2/m (No. 12)
Symmetry-distinct sites (fractional):
Tb  0.0000  0.0000  0.0000  4 Pb 3.14
Tb  0.1573  0.5000  0.8388  5 Pb 3.12-3.21
Tb  0.1674  0.5000  0.3408  5 Pb 3.13-3.20
Pm  0.0000  0.0000  0.5000  6 Pb 3.16-3.27
Pb  0.0000  0.5000  0.5000  4 Tb 3.12-3.13, 2 Pm 3.16
Pb  0.1682  0.0000  0.8424  5 Tb 3.14-3.21, 1 Pm 3.25
Pb  0.1693  0.0000  0.3166  5 Tb 3.14-3.21, 1 Pm 3.27

Density functional theory data (GGA-PBE) for an optimized crystal structure of La2Pr4SmTh.

Summary:
total magnetization	0.000	μB/f.u.
calculated formation energy	32	meV per atom

a b c (Å): 6.4055 3.6821 12.2409
angles (deg): 90.00 99.88 90.00
With the nearest neighbours (Å) after each atom.
Space group P2/m (No. 10)
Symmetry-distinct sites (fractional):
La  0.0000  0.0000  0.0000  2 La 3.68, 4 Sm 3.69, 6 Pr 3.71-3.77
La  0.0000  0.5000  0.5000  6 Pr 3.65-3.69, 2 La 3.68, 4 Th 3.69
Pr  0.2539  0.0000  0.7491  6 Pr 3.64-3.75, 1 Th 3.67, 3 La 3.69-3.71, 2 Sm 3.69
Pr  0.2585  0.5000  0.2566  2 Th 3.62, 6 Pr 3.64-3.75, 3 La 3.65-3.77, 1 Sm 3.73
Sm  0.5000  0.5000  0.0000  2 Sm 3.68, 6 Pr 3.69-3.73, 4 La 3.69
Th  0.5000  0.0000  0.5000  6 Pr 3.62-3.67, 2 Th 3.68, 4 La 3.69

Density functional theory data (GGA-PBE) for an optimized crystal structure of DyTlSn2Se4.

Summary:
total magnetization	0.000	μB/f.u.
ΔE_f (raw)	-0.818	eV/atom

a b c (Å): 7.4014 4.2698 7.5593
angles (deg): 90.00 108.31 90.00
With the nearest neighbours (Å) after each atom.
Space group P2/m (No. 10)
Symmetry-distinct sites (fractional):
Dy  0.0000  0.0000  0.0000  6 Se 2.90-2.96
Tl  0.0000  0.5000  0.5000  6 Se 3.13-3.16
Sn  0.5000  0.0000  0.5000  6 Se 3.17
Sn  0.5000  0.5000  0.0000  6 Se 2.95-2.96
Se  0.2409  0.5000  0.2265  3 Sn 2.95-3.17, 2 Dy 2.96, 1 Tl 3.13
Se  0.2544  0.0000  0.7765  1 Dy 2.90, 3 Sn 2.96-3.17, 2 Tl 3.16

Density functional theory data (GGA-PBE) for an optimized crystal structure of PmDy4Tl4.

Summary:
total magnetization	0.000	μB/f.u.
calculated formation energy	-162	meV per atom

a b c (Å): 9.4735 9.4735 5.9089
angles (deg): 90.00 90.00 90.00
With the nearest neighbours (Å) after each atom.
Space group P4_2/n (No. 86, origin choice 2)
Symmetry-distinct sites (fractional):
Pm  0.2500  0.2500  0.2500  4 Tl 3.25, 4 Dy 3.39
Dy  0.0926  0.8283  0.6386  5 Tl 3.16-3.51, 1 Dy 3.33, 1 Pm 3.39
Tl  0.0381  0.1451  0.8524  5 Dy 3.16-3.51, 1 Pm 3.25, 3 Tl 3.34-3.39

Density functional theory data (GGA-PBE) for an optimized crystal structure of CaH3Pt.

Summary:
E	-4.190	eV per atom
total magnetization	0.000	μB/f.u.

a b c (Å): 3.7305 3.7305 3.7305
angles (deg): 90.00 90.00 90.00
With the nearest neighbours (Å) after each atom.
Space group Pm-3m (No. 221)
Symmetry-distinct sites (fractional):
Ca  0.0000  0.0000  0.0000  12 H 2.64
H  0.0000  0.5000  0.5000  2 Pt 1.87
Pt  0.5000  0.5000  0.5000  6 H 1.87

Density functional theory data (GGA-PBE) for an optimized crystal structure of Sc4CoCu2Ir.

Summary:
total magnetization	0.001	μB/f.u.
calculated formation energy	-502	meV per atom

a b c (Å): 4.5541 4.5541 22.2244
angles (deg): 90.00 90.00 120.00
With the nearest neighbours (Å) after each atom.
Space group R-3m (No. 166, hexagonal axes)
Symmetry-distinct sites (fractional):
Sc  0.0000  0.0000  0.1231  1 Co 2.74, 4 Cu 2.77-2.80, 3 Ir 2.80
Sc  0.0000  0.0000  0.3733  4 Cu 2.76-2.81, 3 Co 2.78, 1 Ir 2.82
Co  0.0000  0.0000  0.0000  8 Sc 2.74-2.78
Cu  0.0000  0.0000  0.2493  8 Sc 2.76-2.81
Ir  0.0000  0.0000  0.5000  8 Sc 2.80-2.82

Density functional theory data (GGA-PBE) for an optimized crystal structure of PrTmInIr.

Summary:
total magnetization	0.000	μB/f.u.
calculated formation energy	-459	meV per atom

a b c (Å): 7.2846 7.2846 7.2846
angles (deg): 90.00 90.00 90.00
With the nearest neighbours (Å) after each atom.
Space group F-43m (No. 216)
Symmetry-distinct sites (fractional):
Pr  0.0000  0.0000  0.0000  4 In 3.15, 4 Ir 3.15
Tm  0.0000  0.0000  0.5000  4 Ir 3.15, 4 In 3.15
In  0.2500  0.2500  0.2500  4 Pr 3.15, 4 Tm 3.15
Ir  0.2500  0.2500  0.7500  4 Pr 3.15, 4 Tm 3.15

Density functional theory data (GGA-PBE) for an optimized crystal structure of PuNpSeS.

Summary:
total magnetization	10.116	μB/f.u.
ΔE_f (raw)	-1.417	eV/atom

a b c (Å): 4.0226 4.0226 19.8951
angles (deg): 90.00 90.00 120.00
With the nearest neighbours (Å) after each atom.
Space group R3m (No. 160, hexagonal axes)
Symmetry-distinct sites (fractional):
Pu  0.0000  0.0000  0.0000  3 S 2.80, 3 Se 2.93
Np  0.0000  0.0000  0.4893  3 S 2.78, 3 Se 2.91
Se  0.0000  0.0000  0.2437  3 Np 2.91, 3 Pu 2.93
S  0.0000  0.0000  0.7456  3 Np 2.78, 3 Pu 2.80

Density functional theory data (GGA-PBE) for an optimized crystal structure of CoMoRu2C.

Summary:
total magnetization	1.858	μB/f.u.
calculated formation energy	326	meV per atom

a b c (Å): 4.0306 4.0306 3.8359
angles (deg): 90.00 90.00 90.00
With the nearest neighbours (Å) after each atom.
Space group P4/mmm (No. 123)
Symmetry-distinct sites (fractional):
Co  0.0000  0.0000  0.0000  2 C 1.92
Mo  0.5000  0.5000  0.0000  8 Ru 2.78, 4 Co 2.85
Ru  0.0000  0.5000  0.5000  2 C 2.02
C  0.0000  0.0000  0.5000  2 Co 1.92, 4 Ru 2.02

Density functional theory data (GGA-PBE) for an optimized crystal structure of YCr2Pb.

Summary:
total magnetization	0.681	μB/f.u.
calculated formation energy	510	meV per atom

a b c (Å): 3.2663 3.2663 27.4037
angles (deg): 90.00 90.00 120.00
With the nearest neighbours (Å) after each atom.
Space group R3m (No. 160, hexagonal axes)
Symmetry-distinct sites (fractional):
Y  0.0000  0.0000  0.0000  3 Cr 3.00, 6 Y 3.27
Cr  0.0000  0.0000  0.2480  3 Cr 2.38
Cr  0.0000  0.0000  0.5281  3 Cr 2.38
Pb  0.0000  0.0000  0.7732  3 Cr 3.07, 6 Pb 3.27

Density functional theory data (GGA-PBE) for an optimized crystal structure of CaCuPb2.

Summary:
total magnetization	0.000	μB/f.u.
calculated formation energy	-46	meV per atom

a b c (Å): 7.4151 7.4151 7.4151
angles (deg): 90.00 90.00 90.00
With the nearest neighbours (Å) after each atom.
Space group Fm-3m (No. 225)
Symmetry-distinct sites (fractional):
Ca  0.0000  0.0000  0.0000  8 Pb 3.21
Cu  0.0000  0.0000  0.5000  8 Pb 3.21
Pb  0.2500  0.2500  0.2500  4 Ca 3.21, 4 Cu 3.21

Density functional theory data (GGA-PBE) for an optimized crystal structure of Ni14PdPt.

Summary:
total magnetization	10.591	μB/f.u.
calculated formation energy	25	meV per atom

a b c (Å): 8.2560 5.1419 8.7585
angles (deg): 90.00 90.00 90.00
With the nearest neighbours (Å) after each atom.
Space group Amm2 (No. 38)
Symmetry-distinct sites (fractional):
Ni  0.0000  0.0000  0.0000  12 Ni 2.47-2.57
Ni  0.0000  0.0000  0.5000  12 Ni 2.46-2.57
Ni  0.0000  0.2497  0.2490  12 Ni 2.48-2.57
Ni  0.2399  0.2494  0.4197  10 Ni 2.46-2.60, 1 Pt 2.60, 1 Pd 2.61
Ni  0.2430  0.0000  0.6657  11 Ni 2.48-2.58, 1 Pd 2.60
Ni  0.2448  0.0000  0.1659  11 Ni 2.49-2.57, 1 Pt 2.59
Ni  0.5000  0.2502  0.0866  2 Pt 2.53-2.54, 2 Pd 2.53-2.54, 8 Ni 2.56-2.60
Pd  0.5000  0.0000  0.8372  10 Ni 2.53-2.61, 2 Pt 2.57
Pt  0.5000  0.0000  0.3373  10 Ni 2.53-2.60, 2 Pd 2.57

Density functional theory data (GGA-PBE) for an optimized crystal structure of SrCaEr.

Summary:
total magnetization	0.984	μB/f.u.
calculated formation energy	176	meV per atom

a b c (Å): 3.8432 3.8432 16.5806
angles (deg): 90.00 90.00 90.00
With the nearest neighbours (Å) after each atom.
Space group I4mm (No. 107)
Symmetry-distinct sites (fractional):
Sr  0.0000  0.0000  0.0000  4 Sr 3.84, 4 Er 3.85, 4 Ca 4.12
Ca  0.0000  0.0000  0.6867  4 Er 3.67, 4 Ca 3.84
Er  0.0000  0.0000  0.3356  4 Ca 3.67, 4 Er 3.84, 4 Sr 3.85

Density functional theory data (GGA-PBE) for an optimized crystal structure of TmZnAgPt.

Summary:
total magnetization	0.000	μB/f.u.
calculated formation energy	-596	meV per atom

a b c (Å): 6.6633 6.6633 6.6633
angles (deg): 90.00 90.00 90.00
With the nearest neighbours (Å) after each atom.
Space group F-43m (No. 216)
Symmetry-distinct sites (fractional):
Tm  0.0000  0.0000  0.0000  4 Ag 2.89, 4 Pt 2.89
Zn  0.0000  0.0000  0.5000  4 Pt 2.89, 4 Ag 2.89
Ag  0.2500  0.2500  0.7500  4 Zn 2.89, 4 Tm 2.89
Pt  0.2500  0.2500  0.2500  4 Tm 2.89, 4 Zn 2.89

Density functional theory data (GGA-PBE) for an optimized crystal structure of Na3Cu2O4.

Summary:
total magnetization	1.154	μB/f.u.
ΔE_f (raw)	-0.862	eV/atom

a b c (Å): 11.1206 3.2810 7.6627
angles (deg): 90.00 118.61 90.00
With the nearest neighbours (Å) after each atom.
Space group C2/m (No. 12)
Symmetry-distinct sites (fractional):
Na  0.0000  0.0000  0.0000  6 O 2.40-2.54
Na  0.1524  0.5000  0.7826  3 O 2.33-2.47
Cu  0.1428  0.5000  0.3313  3 O 1.83-1.85
O  0.0843  0.0000  0.3719  2 Cu 1.85
O  0.1792  0.5000  0.1223  1 Cu 1.83

Density functional theory data (GGA-PBE) for an optimized crystal structure of K2CdIn6Hg.

Summary:
total magnetization	0.000	μB/f.u.
calculated formation energy	-39	meV per atom

a b c (Å): 6.8560 6.8560 47.8165
angles (deg): 90.00 90.00 120.00
With the nearest neighbours (Å) after each atom.
Space group R-3m (No. 166, hexagonal axes)
Symmetry-distinct sites (fractional):
K  0.0000  0.0000  0.1480  12 In 3.72-4.00, 3 Cd 4.06
K  0.0000  0.0000  0.2935  1 Hg 3.32
Cd  0.0000  0.0000  0.0000  6 In 3.91, 6 Hg 4.20
Cd  0.0000  0.0000  0.5000  6 In 3.15
In  0.0210  0.5105  0.8824  4 In 3.03-3.21, 1 Cd 3.15
In  0.0348  0.5174  0.7395  1 Hg 3.01, 4 In 3.03-3.07
Hg  0.0000  0.0000  0.3629  3 In 3.01, 1 K 3.32

Density functional theory data (GGA-PBE) for an optimized crystal structure of Er2MgTc.

Summary:
total magnetization	0.000	μB/f.u.
calculated formation energy	-107	meV per atom

a b c (Å): 3.4513 3.4513 8.0075
angles (deg): 90.00 90.00 90.00
With the nearest neighbours (Å) after each atom.
Space group P4/mmm (No. 123)
Symmetry-distinct sites (fractional):
Er  0.0000  0.0000  0.2013  4 Tc 2.92, 1 Er 3.22
Mg  0.5000  0.5000  0.5000  8 Er 3.42, 4 Mg 3.45
Tc  0.5000  0.5000  0.0000  8 Er 2.92

Density functional theory data (GGA-PBE) for an optimized crystal structure of MgH2Br.

Summary:
E	-2.024	eV per atom
total magnetization	0.000	μB/f.u.

a b c (Å): 5.8915 5.8915 5.8915
angles (deg): 90.00 90.00 90.00
With the nearest neighbours (Å) after each atom.
Space group Fm-3m (No. 225)
Symmetry-distinct sites (fractional):
Mg  0.0000  0.0000  0.0000  8 H 2.55
H  0.2500  0.2500  0.2500  4 Br 2.55, 4 Mg 2.55
Br  0.0000  0.0000  0.5000  8 H 2.55

Density functional theory data (GGA-PBE) for an optimized crystal structure of Be3Te.

Summary:
total magnetization	0.000	μB/f.u.
ΔE_f (raw)	0.743	eV/atom

a b c (Å): 4.7058 7.0554 3.4690
angles (deg): 90.00 90.00 90.00
With the nearest neighbours (Å) after each atom.
Space group Cmmm (No. 65)
Symmetry-distinct sites (fractional):
Be  0.0000  0.0000  0.0000  2 Te 2.35
Be  0.2500  0.2500  0.5000  2 Be 2.35
Te  0.0000  0.5000  0.0000  2 Be 2.35

Density functional theory data (GGA-PBE) for an optimized crystal structure of La5Sm2Ho.

Summary:
total magnetization	0.000	μB/f.u.
calculated formation energy	109	meV per atom

a b c (Å): 5.7187 12.1751 16.6381
angles (deg): 90.00 90.00 90.00
With the nearest neighbours (Å) after each atom.
Space group Cmcm (No. 63)
Symmetry-distinct sites (fractional):
La  0.0000  0.0328  0.2500  1 Ho 3.43, 2 Sm 3.51, 2 La 3.74
La  0.0000  0.1144  0.5527  1 La 3.29, 3 Sm 3.44-3.68, 1 Ho 3.67
La  0.0000  0.4232  0.5936  1 Ho 3.36, 3 La 3.63-3.75, 1 Sm 3.74
Sm  0.0000  0.2747  0.1349  7 La 3.44-3.80, 2 Ho 3.45, 1 Sm 3.83
Ho  0.0000  0.2488  0.7500  5 La 3.36-3.67, 4 Sm 3.45